No. 1
A relaxed structure of Dy2Ni12P3Pt, computed with PBE.

Output
symmetry: No. 166

a b c (Å): 7.0929 7.0929 7.0929
angles (deg): 64.87 64.87 64.87
Fractional coordinates of all 18 atoms:
Dy  0.6050  0.6050  0.6050
Ni  0.1346  0.1346  0.6102
Ni  0.1040  0.6560  0.6560
Pt  0.0000  0.0000  0.0000
P  0.0000  0.5000  0.0000
Ni  0.6560  0.6560  0.1040
Ni  0.3898  0.8654  0.8654
Ni  0.6560  0.1040  0.6560
Dy  0.3950  0.3950  0.3950
P  0.5000  0.0000  0.0000
Ni  0.6102  0.1346  0.1346
Ni  0.3440  0.3440  0.8960
Ni  0.8654  0.8654  0.3898
Ni  0.1346  0.6102  0.1346
Ni  0.3440  0.8960  0.3440
Ni  0.8654  0.3898  0.8654
P  0.0000  0.0000  0.5000
Ni  0.8960  0.3440  0.3440

---

No. 2
A relaxed structure of Dy2NiP3Pt4, computed with PBE.

Output
symmetry: No. 115

a b c (Å): 4.1808 4.1808 9.7411
angles (deg): 90.00 90.00 90.00
Fractional coordinates of all 10 atoms:
P  0.5000  0.0000  0.8648
Pt  0.5000  0.0000  0.6291
Pt  0.0000  0.0000  0.0000
P  0.0000  0.0000  0.5000
Ni  0.5000  0.5000  0.5000
Pt  0.0000  0.5000  0.3709
Dy  0.0000  0.5000  0.7467
P  0.0000  0.5000  0.1352
Dy  0.5000  0.0000  0.2533
Pt  0.5000  0.5000  0.0000

---

No. 3
A relaxed structure of Dy2Ni4P3Rh, computed with PBE.

Output
symmetry: No. 115

a b c (Å): 3.8465 3.8465 9.8706
angles (deg): 90.00 90.00 90.00
Fractional coordinates of all 10 atoms:
Dy  0.0000  0.5000  0.7543
P  0.0000  0.0000  0.5000
Dy  0.5000  0.0000  0.2457
Rh  0.5000  0.5000  0.5000
Ni  0.5000  0.5000  0.0000
Ni  0.0000  0.5000  0.3479
P  0.0000  0.5000  0.1269
Ni  0.0000  0.0000  0.0000
P  0.5000  0.0000  0.8731
Ni  0.5000  0.0000  0.6521

---

No. 4
A relaxed structure of Dy3NiP2Rh9, computed with PBE.

Output
symmetry: No. 164

a b c (Å): 6.0883 6.0883 8.3982
angles (deg): 90.00 90.00 120.00
Fractional coordinates of all 15 atoms:
Rh  0.8477  0.1523  0.7093
P  0.6667  0.3333  0.8301
Rh  0.6955  0.8477  0.2907
Dy  0.0000  0.0000  0.0000
Ni  0.0000  0.0000  0.5000
Dy  0.3333  0.6667  0.6563
Rh  0.5000  0.0000  0.0000
Dy  0.6667  0.3333  0.3437
Rh  0.3045  0.1523  0.7093
Rh  0.1523  0.8477  0.2907
Rh  0.0000  0.5000  0.0000
Rh  0.1523  0.3045  0.2907
P  0.3333  0.6667  0.1699
Rh  0.8477  0.6955  0.7093
Rh  0.5000  0.5000  0.0000

---

No. 5
A relaxed structure of Dy2Ni3P4Rh, computed with PBE.

Output
symmetry: No. 115

a b c (Å): 4.0144 4.0144 9.1893
angles (deg): 90.00 90.00 90.00
Fractional coordinates of all 10 atoms:
P  0.5000  0.0000  0.6388
P  0.5000  0.5000  0.0000
P  0.0000  0.5000  0.3612
Ni  0.5000  0.0000  0.8845
Ni  0.0000  0.5000  0.1155
Dy  0.0000  0.5000  0.7590
Ni  0.0000  0.0000  0.5000
Rh  0.5000  0.5000  0.5000
P  0.0000  0.0000  0.0000
Dy  0.5000  0.0000  0.2410

---

No. 6
A relaxed structure of Dy2Ni4P3Ru, computed with PBE.

Output
symmetry: No. 115

a b c (Å): 3.8248 3.8248 9.9366
angles (deg): 90.00 90.00 90.00
Fractional coordinates of all 10 atoms:
Ru  0.5000  0.5000  0.5000
P  0.0000  0.0000  0.5000
Ni  0.5000  0.5000  0.0000
Ni  0.0000  0.0000  0.0000
P  0.0000  0.5000  0.1272
P  0.5000  0.0000  0.8728
Ni  0.0000  0.5000  0.3489
Dy  0.5000  0.0000  0.2432
Dy  0.0000  0.5000  0.7568
Ni  0.5000  0.0000  0.6511

---

Number 1: DFT formation energy -20 meV/atom. Number 2: DFT formation energy -868 meV/atom. Number 3: DFT formation energy -857 meV/atom. Number 4: DFT formation energy -534 meV/atom. Number 5: DFT formation energy -1007 meV/atom. Number 6: DFT formation energy -784 meV/atom.